A PBEsol-optimized structure of BaTa2Ir. Source: Alexandria, functional meta-GGA SCAN.

a = 6.688 Å, b = 6.688 Å, c = 6.688 Å
α = 90.00°, β = 90.00°, γ = 90.00°
Space group Fm-3m (No. 225)
Symmetry-distinct sites (fractional):
1 Ba 0.000 0.000 0.000
2 Ta 0.250 0.250 0.250
3 Ir 0.000 0.000 0.500

For the total moment, the calculation gives 0.0000 μB/atom. Its formation energy is 0.762 eV per atom. The density of states at the Fermi level is 0.5086 states/eV/atom.



A PBEsol-optimized structure of GaSbTe2P. Source: Alexandria, functional meta-GGA SCAN.

a = 5.180 Å, b = 5.180 Å, c = 5.187 Å
α = 90.00°, β = 90.00°, γ = 90.00°
Space group P4/mmm (No. 123)
Symmetry-distinct sites (fractional):
1 Ga 0.000 0.000 0.000
2 Sb 0.000 0.000 0.500
3 Te 0.000 0.500 0.000
4 P 0.500 0.500 0.500

For the total moment, the calculation gives 0.0000 μB/atom. The value obtained for the total energy is -133.74 eV/cell. The density of states at the Fermi level is 0.8949 states/eV/atom.



A PBEsol-optimized structure of ScAsW2. Source: Alexandria, functional meta-GGA SCAN.

a = 3.344 Å, b = 3.344 Å, c = 5.868 Å
α = 90.00°, β = 90.00°, γ = 90.00°
Space group P4/mmm (No. 123)
Symmetry-distinct sites (fractional):
1 Sc 0.000 0.000 0.000
2 As 0.000 0.000 0.500
3 W 0.500 0.500 0.282

For the total moment, the calculation gives 0.0000 μB/atom. Its formation energy is 0.285 eV per atom. The density of states at the Fermi level is 0.6386 states/eV/atom.



A PBEsol-optimized structure of SrHfPtI2. Source: Alexandria, functional meta-GGA SCAN.

a = 5.540 Å, b = 5.540 Å, c = 5.062 Å
α = 90.00°, β = 90.00°, γ = 90.00°
Space group P4/mmm (No. 123)
Symmetry-distinct sites (fractional):
1 Sr 0.000 0.000 0.000
2 Hf 0.500 0.500 0.500
3 Pt 0.500 0.500 0.000
4 I 0.000 0.500 0.500

For the total moment, the calculation gives 0.0000 μB/atom. The value obtained for the total energy is -230.97 eV/cell. The density of states at the Fermi level is 0.5608 states/eV/atom.